# PBE-GGA Ac4CoHg, relaxed
# Energy relative to the lowest polymorph listed for this composition = 0.0 meV per atom
# M_tot = 0.00 μB per formula unit
# Energy of formation from the pure elements = -0.125 eV/atom
data_Ac4CoHg
_cell_length_a 9.687
_cell_length_b 15.751
_cell_length_c 7.252
_cell_angle_alpha 90.00
_cell_angle_beta 125.30
_cell_angle_gamma 90.00
_symmetry_space_group_name_H-M 'C 1 2/c 1'
_symmetry_Int_Tables_number 15
_symmetry_space_group_name_Hall '-C 2yc'
loop_
_atom_site_label
_atom_site_fract_x
_atom_site_fract_y
_atom_site_fract_z
_atom_site_occupancy
Ac1 0.153 0.207 0.157 1
Ac2 0.230 0.043 0.717 1
Co1 0.000 0.077 0.250 1
Hg1 0.000 0.382 0.750 1